1.
DFT (GGA-PBE) results for a relaxed CdIrSI2 crystal.

Cell: 5.261 5.380 5.261 Å, 90.00 90.00 90.00°
Site moments in Bohr magnetons follow the coordinates.
Fractional coordinates of all 5 atoms:
Cd 0.000 0.500 0.000  0.00
S 0.500 0.500 0.500  0.65
I 0.000 0.000 0.500  0.07
I 0.500 0.000 0.000  0.09
Ir 0.000 0.000 0.000  0.01

**Calculated volume**: 148.89 Å³ per cell
**Formation energy from raw total energies**: 684 meV/atom

***

2.
DFT (GGA-PBE) results for a relaxed UPaGa crystal.

Cell: 3.651 3.651 5.439 Å, 109.61 109.61 90.00°
Site moments in Bohr magnetons follow the coordinates.
Fractional coordinates of all 3 atoms:
U 0.315 0.315 0.630  1.28
Ga 0.000 0.000 0.999  -0.01
Pa 0.685 0.685 0.370  0.47

**Calculated volume**: 63.80 Å³ per cell
**E above lowest polymorph**: 0.040 eV/atom
**Energy relative to the elements**: 0.020 eV/atom

***

> Among the records above, which one has the highest calculated volume?

CdIrSI2